[1]
A relaxed structure of BaScSi. Source: the Alexandria database, functional PBE. Values from VASP.

Quantum ESPRESSO input file:
```
&SYSTEM
  ibrav = 0, nat = 3, ntyp = 3
/
ATOMIC_SPECIES
Ba 137.33 Ba.upf
Sc 44.96 Sc.upf
Si 28.09 Si.upf
CELL_PARAMETERS angstrom
-3.5612 3.4050 -1.4056
-4.4431 -1.6094 -1.9802
-4.3250 0.4501 2.7099
ATOMIC_POSITIONS crystal
Ba 0.0000 0.0000 0.0000
Sc 0.5000 0.5000 0.5000
Si 0.7500 0.7500 0.7500
```

Calculated values
Space-group type ... F-43m (216)
Formation energy without anion corrections ... -0.02 eV/atom
Crystal system ... cubic
ρ ... 3.7 g cm⁻³
Electronic total energy ... -4.577 eV per atom

[2]
A relaxed structure of Ba2ScSi. Source: the Alexandria database, functional PBE. Values from VASP.

Quantum ESPRESSO input file:
```
&SYSTEM
  ibrav = 0, nat = 4, ntyp = 3
/
ATOMIC_SPECIES
Ba 137.33 Ba.upf
Sc 44.96 Sc.upf
Si 28.09 Si.upf
CELL_PARAMETERS angstrom
11.2874 -0.0150 -0.0088
10.5777 3.9394 -0.0088
10.5777 1.8985 3.4517
ATOMIC_POSITIONS crystal
Ba 0.0139 0.0139 0.0139
Ba 0.4861 0.4861 0.4861
Sc 0.2500 0.2500 0.2500
Si 0.7500 0.7500 0.7500
```

Calculated values
Space-group type ... R-3m (166)
Formation energy without anion corrections ... 0.37 eV/atom
Crystal system ... trigonal
ρ ... 3.7 g cm⁻³
Electronic total energy ... -3.528 eV per atom

[3]
A relaxed structure of Ba2ScSi. Source: the Alexandria database, functional PBE. Values from VASP.

Quantum ESPRESSO input file:
```
&SYSTEM
  ibrav = 0, nat = 4, ntyp = 3
/
ATOMIC_SPECIES
Ba 137.33 Ba.upf
Sc 44.96 Sc.upf
Si 28.09 Si.upf
CELL_PARAMETERS angstrom
10.0720 0.0007 -0.0120
9.3553 3.7315 -0.0120
0.8457 0.1625 4.0251
ATOMIC_POSITIONS crystal
Ba 0.0983 0.0983 0.9020
Ba 0.4017 0.4017 0.5980
Sc 0.2500 0.2500 0.2500
Si 0.7500 0.7500 0.7500
```

Calculated values
Space-group type ... Immm (71)
Formation energy without anion corrections ... -0.09 eV/atom
Crystal system ... orthorhombic
ρ ... 3.8 g cm⁻³
Electronic total energy ... -3.991 eV per atom

[4]
A relaxed structure of Ba2ScSi. Source: the Alexandria database, functional PBE. Values from VASP.

Quantum ESPRESSO input file:
```
&SYSTEM
  ibrav = 0, nat = 8, ntyp = 3
/
ATOMIC_SPECIES
Sc 44.96 Sc.upf
Si 28.09 Si.upf
Ba 137.33 Ba.upf
CELL_PARAMETERS angstrom
-4.2410 -10.3422 -4.5260
-1.9637 -4.0853 11.1752
-5.5202 -6.1987 3.2708
ATOMIC_POSITIONS crystal
Sc 0.0000 0.0000 0.0000
Sc 0.7500 0.2500 0.5000
Si 0.5000 0.5000 0.0000
Si 0.2500 0.7500 0.5000
Ba 0.4696 0.1250 0.2500
Ba 0.2804 0.6250 0.2500
Ba 0.3750 0.5304 0.7500
Ba 0.8750 0.7196 0.7500
```

Calculated values
Space-group type ... I-42d (122)
Formation energy without anion corrections ... 0.12 eV/atom
Crystal system ... tetragonal
ρ ... 3.0 g cm⁻³
Electronic total energy ... -3.781 eV per atom

[5]
A relaxed structure of Ba2ScSi. Source: the Alexandria database, functional PBE. Values from VASP.

Quantum ESPRESSO input file:
```
&SYSTEM
  ibrav = 0, nat = 4, ntyp = 3
/
ATOMIC_SPECIES
Ba 137.33 Ba.upf
Sc 44.96 Sc.upf
Si 28.09 Si.upf
CELL_PARAMETERS angstrom
-2.8438 1.8549 -3.0673
0.6718 -3.9944 -3.0384
-4.7836 -5.0594 1.3755
ATOMIC_POSITIONS crystal
Ba 0.0000 0.9865 0.9021
Ba 0.5000 0.2779 0.3188
Sc 0.0000 0.6692 0.5363
Si 0.5000 0.5664 0.7428
```

Calculated values
Space-group type ... Amm2 (38)
Formation energy without anion corrections ... -0.11 eV/atom
Crystal system ... orthorhombic
ρ ... 3.8 g cm⁻³
Electronic total energy ... -4.008 eV per atom

[6]
A relaxed structure of BaSc4Si. Source: the Alexandria database, functional PBE. Values from VASP.

Quantum ESPRESSO input file:
```
&SYSTEM
  ibrav = 0, nat = 6, ntyp = 3
/
ATOMIC_SPECIES
Ba 137.33 Ba.upf
Sc 44.96 Sc.upf
Si 28.09 Si.upf
CELL_PARAMETERS angstrom
0.0000 4.3453 4.3453
4.3453 0.0000 4.3453
4.3453 4.3453 0.0000
ATOMIC_POSITIONS crystal
Ba 0.0000 0.0000 0.0000
Sc 0.8722 0.3759 0.3759
Sc 0.3759 0.3759 0.8722
Sc 0.3759 0.8722 0.3759
Sc 0.3759 0.3759 0.3759
Si 0.7500 0.7500 0.7500
```

Calculated values
Space-group type ... F-43m (216)
Formation energy without anion corrections ... 0.45 eV/atom
Crystal system ... cubic
ρ ... 3.5 g cm⁻³
Electronic total energy ... -5.000 eV per atom

[7]
A relaxed structure of Ba2ScSi. Source: the Alexandria database, functional PBE. Values from VASP.

Quantum ESPRESSO input file:
```
&SYSTEM
  ibrav = 0, nat = 4, ntyp = 3
/
ATOMIC_SPECIES
Ba 137.33 Ba.upf
Sc 44.96 Sc.upf
Si 28.09 Si.upf
CELL_PARAMETERS angstrom
-5.5760 -2.8624 0.3723
-0.0495 -4.6776 4.1882
1.8285 6.0034 0.1981
ATOMIC_POSITIONS crystal
Ba 0.0004 0.0004 0.0000
Ba 0.4996 0.4996 0.0000
Sc 0.7500 0.2500 0.5000
Si 0.2500 0.7500 0.5000
```

Calculated values
Space-group type ... I4/mmm (139)
Formation energy without anion corrections ... 0.20 eV/atom
Crystal system ... tetragonal
ρ ... 4.6 g cm⁻³
Electronic total energy ... -3.700 eV per atom

[8]
A relaxed structure of Ba2ScSi2. Source: the Alexandria database, functional PBE. Values from VASP.

Quantum ESPRESSO input file:
```
&SYSTEM
  ibrav = 0, nat = 10, ntyp = 3
/
ATOMIC_SPECIES
Sc 44.96 Sc.upf
Si 28.09 Si.upf
Ba 137.33 Ba.upf
CELL_PARAMETERS angstrom
7.5473 0.0000 0.0000
0.0000 7.5473 0.0000
0.0000 0.0000 5.2566
ATOMIC_POSITIONS crystal
Sc 0.0000 0.0000 0.0000
Sc 0.5000 0.5000 0.0000
Si 0.3846 0.8846 0.0000
Si 0.8846 0.6154 0.0000
Si 0.6154 0.1154 0.0000
Si 0.1154 0.3846 0.0000
Ba 0.1754 0.6754 0.5000
Ba 0.6754 0.8246 0.5000
Ba 0.8246 0.3246 0.5000
Ba 0.3246 0.1754 0.5000
```

Calculated values
Space-group type ... P4/mbm (127)
Formation energy without anion corrections ... -0.26 eV/atom
Crystal system ... tetragonal
ρ ... 4.2 g cm⁻³
Electronic total energy ... -4.461 eV per atom